[1]
PBE Tl2TeP, optimized geometry; energy relative to the elements, uncorrected = 69 kJ/mol of formula units; SG = R3m, No. 160; energy above the most stable polymorph in this dataset = 69 meV per atom; uncorrected energy = -3.142 eV/atom
1.0
1.891 1.092 9.057
-1.891 1.092 9.057
0.000 -2.184 9.057
Tl Te P
2 1 1
Cartesian
0.000 0.000 0.000 Tl
0.000 0.000 6.254 Tl
0.000 0.000 12.718 Te
0.000 0.000 20.092 P

---

[2]
PBE TlTe2P, optimized geometry; energy relative to the elements, uncorrected = 54 kJ/mol of formula units; SG = Immm, No. 71; uncorrected energy = -3.374 eV/atom
1.0
-1.849 2.975 5.158
1.849 -2.975 5.158
1.849 2.975 -5.158
Tl Te P
1 2 1
Cartesian
0.000 0.000 0.000 Tl
1.849 0.000 3.200 Te
0.000 2.975 1.958 Te
0.000 0.000 5.158 P

---

[3]
PBE Tl2TeP, optimized geometry; energy relative to the elements, uncorrected = 99 kJ/mol of formula units; SG = P2/m, No. 10; energy above the most stable polymorph in this dataset = 146 meV per atom; uncorrected energy = -3.065 eV/atom
1.0
3.182 0.000 0.000
0.000 5.725 0.000
-0.202 0.000 6.041
Tl Te P
2 1 1
Cartesian
0.615 0.000 1.572 Tl
2.365 0.000 4.469 Tl
1.591 2.863 0.000 Te
1.490 2.863 3.020 P

---

[4]
PBE TlTe2P, optimized geometry; energy relative to the elements, uncorrected = 192 kJ/mol of formula units; SG = F-43m, No. 216; uncorrected energy = -3.017 eV/atom
1.0
0.000 3.739 3.739
3.739 0.000 3.739
3.739 3.739 0.000
Tl Te P
1 2 1
Cartesian
0.000 0.000 0.000 Tl
1.870 1.870 1.870 Te
3.739 3.739 3.739 Te
5.609 5.609 5.609 P

---

[5]
PBE TlTe2P, optimized geometry; energy relative to the elements, uncorrected = 80 kJ/mol of formula units; SG = Imm2, No. 44; uncorrected energy = -3.308 eV/atom
1.0
-1.761 3.001 5.598
1.761 -3.001 5.598
1.761 3.001 -5.598
Tl Te P
1 2 1
Cartesian
0.000 0.000 0.000 Tl
0.000 0.000 5.095 Te
0.000 3.001 2.520 Te
1.761 0.000 3.286 P

---

[6]
PBE TlTe2P, optimized geometry; energy relative to the elements, uncorrected = 157 kJ/mol of formula units; SG = I-4m2, No. 119; uncorrected energy = -3.109 eV/atom
1.0
-2.036 2.036 8.244
2.036 -2.036 8.244
2.036 2.036 -8.244
Tl Te P
1 2 1
Cartesian
0.000 0.000 0.000 Tl
0.000 0.000 8.244 Te
0.000 2.036 4.122 Te
2.036 0.000 4.122 P

---

[7]
PBE TlTe2P, optimized geometry; energy relative to the elements, uncorrected = 60 kJ/mol of formula units; SG = P4mm, No. 99; uncorrected energy = -3.359 eV/atom
1.0
3.521 0.000 0.000
0.000 3.521 0.000
0.000 0.000 9.871
Tl Te P
1 2 1
Cartesian
0.000 0.000 0.000 Tl
0.000 0.000 3.882 Te
1.760 1.760 7.518 Te
1.760 1.760 2.819 P

---

[8]
PBE TlTe3P2, optimized geometry; energy relative to the elements, uncorrected = 101 kJ/mol of formula units; SG = P-3m1, No. 164; uncorrected energy = -3.594 eV/atom
1.0
8.140 0.000 0.000
-4.070 7.050 0.000
0.000 0.000 5.573
Tl Te P
2 6 4
Cartesian
0.000 4.700 1.694 Tl
4.070 2.350 3.879 Tl
0.000 2.392 4.023 Te
-1.999 5.854 4.023 Te
2.072 1.196 1.550 Te
1.999 5.854 4.023 Te
6.069 1.196 1.550 Te
4.070 4.658 1.550 Te
0.000 0.000 0.000 P
-2.035 3.525 0.000 P
4.070 0.000 0.000 P
2.035 3.525 0.000 P

---

[9]
PBE TlTe2P, optimized geometry; energy relative to the elements, uncorrected = 24 kJ/mol of formula units; SG = P4mm, No. 99; uncorrected energy = -3.453 eV/atom
1.0
3.991 0.000 0.000
0.000 3.991 0.000
0.000 0.000 8.510
Tl Te P
1 2 1
Cartesian
0.000 0.000 0.000 Tl
0.000 0.000 3.829 Te
1.996 1.996 6.859 Te
1.996 1.996 4.375 P

---

[10]
PBE Tl2TeP, optimized geometry; energy relative to the elements, uncorrected = 47 kJ/mol of formula units; SG = Immm, No. 71; energy above the most stable polymorph in this dataset = 11 meV per atom; uncorrected energy = -3.200 eV/atom
1.0
-1.906 2.277 6.832
1.906 -2.277 6.832
1.906 2.277 -6.832
Tl Te P
2 1 1
Cartesian
0.000 0.000 2.409 Tl
0.000 0.000 11.254 Tl
0.000 2.277 0.000 Te
1.906 0.000 0.000 P

---

[11]
PBE Tl2TeP, optimized geometry; energy relative to the elements, uncorrected = 43 kJ/mol of formula units; SG = Pm, No. 6; energy above the most stable polymorph in this dataset = 1 meV per atom; uncorrected energy = -3.210 eV/atom
1.0
4.574 0.000 0.000
0.000 4.908 0.000
-1.183 0.000 5.997
Tl Te P
2 1 1
Cartesian
0.000 0.000 0.000 Tl
0.085 2.454 3.381 Tl
2.324 0.000 2.392 Te
2.302 2.454 1.300 P

---

[12]
PBE TlTe2P, optimized geometry; energy relative to the elements, uncorrected = 135 kJ/mol of formula units; SG = P4/mmm, No. 123; uncorrected energy = -3.165 eV/atom
1.0
3.448 0.000 0.000
0.000 3.448 0.000
0.000 0.000 8.879
Tl Te P
1 2 1
Cartesian
0.000 0.000 0.000 Tl
1.724 1.724 2.653 Te
1.724 1.724 6.226 Te
0.000 0.000 4.439 P

---

[13]
PBE Tl8Te6P, optimized geometry; energy relative to the elements, uncorrected = -195 kJ/mol of formula units; SG = Pmn2_1, No. 31; uncorrected energy = -3.014 eV/atom
1.0
9.016 0.000 0.000
0.000 10.296 0.000
0.000 0.000 11.962
Tl Te P
16 12 2
Cartesian
0.000 1.431 0.000 Tl
0.000 2.946 4.447 Tl
1.764 5.426 9.469 Tl
2.037 6.974 0.732 Tl
2.235 9.319 8.684 Tl
2.273 0.977 2.703 Tl
2.471 3.322 6.713 Tl
2.744 4.870 3.488 Tl
4.508 7.350 10.428 Tl
4.508 8.865 5.981 Tl
6.271 4.870 3.488 Tl
6.545 3.322 6.713 Tl
6.743 0.977 2.703 Tl
6.781 9.319 8.684 Tl
6.979 6.974 0.732 Tl
7.252 5.426 9.469 Tl
0.000 0.023 6.592 Te
0.000 4.642 1.543 Te
0.000 5.994 6.622 Te
0.000 8.500 10.808 Te
2.168 8.193 3.737 Te
2.339 2.103 9.718 Te
4.508 1.796 4.827 Te
4.508 4.302 0.641 Te
4.508 5.654 7.524 Te
4.508 10.273 0.611 Te
6.676 2.103 9.718 Te
6.847 8.193 3.737 Te
0.000 8.160 5.197 P
4.508 2.136 11.178 P

---

[14]
PBE Tl2TeP, optimized geometry; energy relative to the elements, uncorrected = 43 kJ/mol of formula units; SG = Imm2, No. 44; energy above the most stable polymorph in this dataset = 2 meV per atom; uncorrected energy = -3.209 eV/atom
1.0
-1.800 2.924 5.506
1.800 -2.924 5.506
1.800 2.924 -5.506
Tl Te P
2 1 1
Cartesian
0.000 0.000 0.000 Tl
0.000 2.924 2.360 Tl
1.800 0.000 3.465 Te
0.000 0.000 5.382 P

---

[15]
PBE Tl2Te5P, optimized geometry; energy relative to the elements, uncorrected = -32 kJ/mol of formula units; SG = P4/mbm, No. 127; uncorrected energy = -3.273 eV/atom
1.0
8.420 0.000 0.000
0.000 8.420 0.000
0.000 0.000 15.052
Tl Te P
8 20 4
Cartesian
0.000 0.000 1.814 Tl
0.000 0.000 5.707 Tl
0.000 0.000 9.345 Tl
0.000 0.000 13.238 Tl
4.210 4.210 1.814 Tl
4.210 4.210 5.707 Tl
4.210 4.210 9.345 Tl
4.210 4.210 13.238 Tl
0.000 4.210 1.953 Te
0.000 4.210 13.100 Te
1.432 2.778 4.285 Te
1.432 2.778 10.767 Te
1.472 5.681 7.526 Te
1.602 2.608 0.000 Te
2.608 6.818 0.000 Te
2.738 1.472 7.526 Te
2.778 6.988 4.285 Te
2.778 6.988 10.767 Te
4.210 0.000 1.953 Te
4.210 0.000 13.100 Te
5.642 1.432 4.285 Te
5.642 1.432 10.767 Te
5.681 6.948 7.526 Te
5.812 1.602 0.000 Te
6.818 5.812 0.000 Te
6.948 2.738 7.526 Te
6.988 5.642 4.285 Te
6.988 5.642 10.767 Te
0.000 4.210 5.819 P
0.000 4.210 9.234 P
4.210 0.000 5.819 P
4.210 0.000 9.234 P

---

[16]
PBE TlTe2P2, optimized geometry; energy relative to the elements, uncorrected = 103 kJ/mol of formula units; SG = P4/mbm, No. 127; energy above the most stable polymorph in this dataset = 0 meV per atom; uncorrected energy = -3.680 eV/atom
1.0
8.840 0.000 0.000
0.000 8.840 0.000
0.000 0.000 3.688
Tl Te P
2 4 4
Cartesian
0.000 0.000 0.000 Tl
4.420 4.420 0.000 Tl
1.519 2.901 1.844 Te
2.901 7.321 1.844 Te
5.939 1.519 1.844 Te
7.321 5.939 1.844 Te
1.670 6.090 0.000 P
2.750 1.670 0.000 P
6.090 7.170 0.000 P
7.170 2.750 0.000 P

---

[17]
PBE TlTe2P, optimized geometry; energy relative to the elements, uncorrected = 116 kJ/mol of formula units; SG = Cmmm, No. 65; uncorrected energy = -3.213 eV/atom
1.0
2.011 -3.017 0.000
2.011 3.017 0.000
0.000 0.000 9.218
Tl Te P
1 2 1
Cartesian
0.000 0.000 0.000 Tl
2.011 0.000 2.763 Te
2.011 0.000 6.454 Te
0.000 0.000 4.609 P

---

[18]
PBE Tl2TeP, optimized geometry; energy relative to the elements, uncorrected = 61 kJ/mol of formula units; SG = P4mm, No. 99; energy above the most stable polymorph in this dataset = 48 meV per atom; uncorrected energy = -3.164 eV/atom
1.0
3.896 0.000 0.000
0.000 3.896 0.000
0.000 0.000 7.632
Tl Te P
2 1 1
Cartesian
0.000 0.000 0.000 Tl
1.948 1.948 2.186 Tl
1.948 1.948 5.343 Te
0.000 0.000 4.634 P

---

[19]
PBE Tl2TeP, optimized geometry; energy relative to the elements, uncorrected = 86 kJ/mol of formula units; SG = P4/mmm, No. 123; energy above the most stable polymorph in this dataset = 114 meV per atom; uncorrected energy = -3.097 eV/atom
1.0
3.295 0.000 0.000
0.000 3.295 0.000
0.000 0.000 10.262
Tl Te P
2 1 1
Cartesian
0.000 0.000 2.163 Tl
0.000 0.000 8.099 Tl
1.648 1.648 5.131 Te
1.648 1.648 0.000 P

---

[20]
PBE Tl2TeP, optimized geometry; energy relative to the elements, uncorrected = 97 kJ/mol of formula units; SG = P4/mmm, No. 123; energy above the most stable polymorph in this dataset = 141 meV per atom; uncorrected energy = -3.070 eV/atom
1.0
4.427 0.000 0.000
0.000 4.427 0.000
0.000 0.000 5.618
Tl Te P
2 1 1
Cartesian
0.000 2.214 0.000 Tl
2.214 0.000 0.000 Tl
0.000 0.000 2.809 Te
2.214 2.214 2.809 P

---

[21]
PBE TlTe3P, optimized geometry; energy relative to the elements, uncorrected = 99 kJ/mol of formula units; SG = Pm-3m, No. 221; energy above the most stable polymorph in this dataset = 0 meV per atom; uncorrected energy = -3.236 eV/atom
1.0
5.375 0.000 0.000
0.000 5.375 0.000
0.000 0.000 5.375
Tl Te P
1 3 1
Cartesian
0.000 0.000 0.000 Tl
0.000 2.688 2.688 Te
2.688 0.000 2.688 Te
2.688 2.688 0.000 Te
2.688 2.688 2.688 P

---

[22]
PBE TlTe2P, optimized geometry; energy relative to the elements, uncorrected = 38 kJ/mol of formula units; SG = R3m, No. 160; uncorrected energy = -3.416 eV/atom
1.0
2.113 1.220 7.461
-2.113 1.220 7.461
0.000 -2.439 7.461
Tl Te P
1 2 1
Cartesian
0.000 0.000 0.000 Tl
0.000 0.000 5.394 Te
0.000 0.000 10.778 Te
0.000 0.000 16.929 P

---

[23]
PBE TlTe2P, optimized geometry; energy relative to the elements, uncorrected = 17 kJ/mol of formula units; SG = Cm, No. 8; uncorrected energy = -3.471 eV/atom
1.0
6.601 -1.817 0.000
6.601 1.817 0.000
-2.401 0.000 5.568
Tl Te P
1 2 1
Cartesian
0.000 0.000 0.000 Tl
1.102 0.000 4.612 Te
4.656 0.000 2.702 Te
7.136 0.000 2.828 P

---

[24]
PBE TlTe2P, optimized geometry; energy relative to the elements, uncorrected = 172 kJ/mol of formula units; SG = P4/mmm, No. 123; uncorrected energy = -3.068 eV/atom
1.0
5.310 0.000 0.000
0.000 5.310 0.000
0.000 0.000 3.682
Tl Te P
1 2 1
Cartesian
0.000 0.000 0.000 Tl
0.000 2.655 1.841 Te
2.655 0.000 1.841 Te
2.655 2.655 0.000 P

---

[25]
PBE TlTeP, optimized geometry; energy relative to the elements, uncorrected = 51 kJ/mol of formula units; SG = I4mm, No. 107; energy above the most stable polymorph in this dataset = 0 meV per atom; uncorrected energy = -3.462 eV/atom
1.0
-1.891 1.891 5.939
1.891 -1.891 5.939
1.891 1.891 -5.939
Tl Te P
1 1 1
Cartesian
0.000 0.000 0.000 Tl
0.000 0.000 3.303 Te
0.000 0.000 8.450 P

---

[26]
PBE TlTe2P, optimized geometry; energy relative to the elements, uncorrected = 58 kJ/mol of formula units; SG = P2/m, No. 10; uncorrected energy = -3.364 eV/atom
1.0
4.768 0.000 0.000
0.000 3.614 0.000
-2.039 0.000 7.308
Tl Te P
1 2 1
Cartesian
0.000 0.000 0.000 Tl
0.411 1.807 5.337 Te
2.318 1.807 1.971 Te
1.365 0.000 3.654 P

---

[27]
PBE TlTeP, optimized geometry; energy relative to the elements, uncorrected = 74 kJ/mol of formula units; SG = Imm2, No. 44; energy above the most stable polymorph in this dataset = 77 meV per atom; uncorrected energy = -3.385 eV/atom
1.0
-1.973 2.080 6.056
1.973 -2.080 6.056
1.973 2.080 -6.056
Tl Te P
1 1 1
Cartesian
0.000 0.000 0.000 Tl
0.000 0.000 8.612 Te
0.000 0.000 6.194 P